1.
VASP calculation (PBE) on a relaxed CaBPt3 crystal.

Calculated values
**M_tot**: 0.00 μB/cell
**DOS at the Fermi energy**: 12.96 states/eV per cell
**Formation energy from the elements**: -0.326 eV per atom

Cell lengths 5.2432, 5.2432, 21.4238 Å; angles 90.00, 90.00, 120.00 degrees
Space group R-3 (No. 148, hexagonal axes)
Symmetry-distinct sites (fractional):
Ca (0.0000, 0.0000, 0.1807) (multiplicity 6)
B (0.0000, 0.0000, 0.3097) (multiplicity 6)
Pt (0.0005, 0.3923, 0.2770) (multiplicity 18)



2.
VASP calculation (PBE) on a relaxed CaBPt3 crystal.

Calculated values
**M_tot**: 0.00 μB/cell
**DOS at the Fermi energy**: 3.78 states/eV per cell
**Formation energy from the elements**: -0.116 eV per atom

Cell lengths 4.5540, 4.5540, 8.6641 Å; angles 90.00, 90.00, 120.00 degrees
Space group P6_3/mmc (No. 194)
Symmetry-distinct sites (fractional):
Ca (0.3333, 0.6667, 0.2500) (multiplicity 2)
B (0.0000, 0.0000, 0.0000) (multiplicity 2)
Pt (0.0000, 0.0000, 0.2500) (multiplicity 2)
Pt (0.3333, 0.6667, 0.5755) (multiplicity 4)



3.
VASP calculation (PBE) on a relaxed CaBPt3 crystal.

Calculated values
**M_tot**: 0.00 μB/cell
**DOS at the Fermi energy**: 3.12 states/eV per cell
**Formation energy from the elements**: -0.614 eV per atom

Cell lengths 5.7370, 5.7370, 5.6841 Å; angles 90.00, 90.00, 120.00 degrees
Space group P6_3/mmc (No. 194)
Symmetry-distinct sites (fractional):
Ca (0.3333, 0.6667, 0.2500) (multiplicity 2)
B (0.0000, 0.0000, 0.0000) (multiplicity 2)
Pt (0.1690, 0.3379, 0.7500) (multiplicity 6)



4.
VASP calculation (PBE) on a relaxed CaBPt6 crystal.

Calculated values
**M_tot**: 0.00 μB/cell
**DOS at the Fermi energy**: 15.76 states/eV per cell
**Formation energy from the elements**: -0.395 eV per atom

Cell lengths 5.6752, 5.6752, 14.9293 Å; angles 90.00, 90.00, 120.00 degrees
Space group R-3m (No. 166, hexagonal axes)
Symmetry-distinct sites (fractional):
Ca (0.0000, 0.0000, 0.0000) (multiplicity 3)
B (0.0000, 0.0000, 0.5000) (multiplicity 3)
Pt (0.0177, 0.5089, 0.9123) (multiplicity 18)



5.
VASP calculation (PBE) on a relaxed CaBPtRh2 crystal.

Calculated values
**M_tot**: 0.00 μB/cell
**DOS at the Fermi energy**: 4.14 states/eV per cell
**Formation energy from the elements**: -0.566 eV per atom

Cell lengths 4.238, 4.238, 4.226 Å; angles 90.00, 90.00, 90.00 degrees
Space group P4/mmm (No. 123)
Symmetry-distinct sites (fractional):
Ca (0.000, 0.000, 0.000) (multiplicity 1)
B (0.500, 0.500, 0.500) (multiplicity 1)
Pt (0.500, 0.500, 0.000) (multiplicity 1)
Rh (0.000, 0.500, 0.500) (multiplicity 2)



6.
VASP calculation (PBE) on a relaxed Ca2BPtSe crystal.

Calculated values
**M_tot**: 0.00 μB/cell
**DOS at the Fermi energy**: 1.19 states/eV per cell
**ΔE_f (raw)**: -4.2 eV/f.u.

Cell lengths 5.306, 5.306, 3.940 Å; angles 90.00, 90.00, 90.00 degrees
Space group P4/mmm (No. 123)
Symmetry-distinct sites (fractional):
Ca (0.000, 0.500, 0.000) (multiplicity 2)
B (0.000, 0.000, 0.000) (multiplicity 1)
Pt (0.000, 0.000, 0.500) (multiplicity 1)
Se (0.500, 0.500, 0.500) (multiplicity 1)